Below is MgRhBr after structural relaxation, with properties calculated at the PBE-GGA level.

Theoretical density: 5.6 Mg/m³
Calculated volume: 20.613 Å³/atom
Crystal system: tetragonal
E above lowest polymorph: 0.8011 eV per atom
M_tot: 0.0 μB/cell
Energy: -3.286 eV per atom

a = 4.5111 Å, b = 4.5111 Å, c = 6.0775 Å
α = 90.00°, β = 90.00°, γ = 90.00°
Space group P4/nmm (No. 129, origin choice 2)
One atom of each set of equivalent atoms:
Mg  0.2500  0.2500  0.1991 x2
Rh  0.2500  0.2500  0.7888 x2
Br  0.2500  0.7500  0.5000 x2

---

Below is Tb4Pr4Nd5 after structural relaxation, with properties calculated at the PBE-GGA level.

Theoretical density: 7.1 Mg/m³
Formation enthalpy at 0 K: 0.01 eV/atom
Calculated volume: 34.583 Å³/atom
Crystal system: monoclinic
M_tot: 0.0 μB/cell
Energy: -4.714 eV per atom

a = 18.6614 Å, b = 5.1560 Å, c = 13.1986 Å
α = 90.00°, β = 134.93°, γ = 90.00°
Space group C2/m (No. 12)
One atom of each set of equivalent atoms:
Tb  0.1542  0.0000  0.3855 x4
Tb  0.2312  0.0000  0.0770 x4
Pr  0.0774  0.0000  0.6948 x4
Pr  0.1175  0.5000  0.5401 x4
Nd  0.0000  0.0000  0.0000 x2
Nd  0.0401  0.5000  0.8488 x4
Nd  0.1913  0.5000  0.2314 x4

---

Below is Sr2Zn3Ag6 after structural relaxation, with properties calculated at the PBE-GGA level.

Theoretical density: 6.9 Mg/m³
Formation enthalpy at 0 K: -0.16 eV/atom
Calculated volume: 22.424 Å³/atom
Crystal system: hexagonal
M_tot: 0.0 μB/cell
Energy: -2.366 eV per atom

a = 7.9299 Å, b = 7.9299 Å, c = 4.5294 Å
α = 90.00°, β = 90.00°, γ = 120.00°
Space group P-62m (No. 189)
One atom of each set of equivalent atoms:
Sr  0.3333  0.6667  0.0000 x2
Zn  0.0000  0.3844  0.5000 x3
Ag  0.0000  0.2062  0.0000 x3
Ag  0.0000  0.7235  0.5000 x3

---

Below is Sm2Al4GeAu3 after structural relaxation, with properties calculated at the PBE-GGA level.

Theoretical density: 8.8 Mg/m³
Formation enthalpy at 0 K: -0.68 eV/atom
Calculated volume: 20.213 Å³/atom
Crystal system: tetragonal
M_tot: 0.0 μB/cell
Energy: -4.565 eV per atom

a = 4.4156 Å, b = 4.4156 Å, c = 10.3673 Å
α = 90.00°, β = 90.00°, γ = 90.00°
Space group P-4m2 (No. 115)
One atom of each set of equivalent atoms:
Sm  0.0000  0.5000  0.2464 x2
Al  0.0000  0.0000  0.5000 x1
Al  0.0000  0.5000  0.8677 x2
Al  0.5000  0.5000  0.5000 x1
Ge  0.5000  0.5000  0.0000 x1
Au  0.0000  0.0000  0.0000 x1
Au  0.0000  0.5000  0.6298 x2

---

Below is Li2LaSc after structural relaxation, with properties calculated at the PBE-GGA level.

Theoretical density: 3.1 Mg/m³
Formation enthalpy at 0 K: 0.14 eV/atom
Calculated volume: 26.367 Å³/atom
Crystal system: orthorhombic
E above lowest polymorph: 0.0437 eV per atom
M_tot: 0.0 μB/cell
Energy: -3.629 eV per atom

a = 3.6223 Å, b = 5.4872 Å, c = 10.6123 Å
α = 90.00°, β = 90.00°, γ = 90.00°
Space group Cmm2 (No. 35)
One atom of each set of equivalent atoms:
Li  0.0000  0.0000  0.0000 x2
Li  0.0000  0.5000  0.2200 x2
La  0.0000  0.5000  0.7242 x2
Sc  0.0000  0.0000  0.4579 x2

---

Below is BaCrIr after structural relaxation, with properties calculated at the PBE-GGA level.

Theoretical density: 8.0 Mg/m³
Formation enthalpy at 0 K: 0.25 eV/atom
Calculated volume: 26.427 Å³/atom
Crystal system: hexagonal
E above lowest polymorph: 0.0000 eV per atom
M_tot: 2.9 μB/cell
Energy: -6.552 eV per atom

a = 4.2135 Å, b = 4.2135 Å, c = 5.1566 Å
α = 90.00°, β = 90.00°, γ = 120.00°
Space group P-6m2 (No. 187)
One atom of each set of equivalent atoms:
Ba  0.0000  0.0000  0.0000 x1
Cr  0.6667  0.3333  0.5000 x1
Ir  0.3333  0.6667  0.5000 x1

---

Below is YHfGa5 after structural relaxation, with properties calculated at the PBE-GGA level.

Theoretical density: 6.8 Mg/m³
Formation enthalpy at 0 K: -0.11 eV/atom
Calculated volume: 21.509 Å³/atom
Crystal system: tetragonal
M_tot: 0.0 μB/cell
Energy: -4.619 eV per atom

a = 5.1678 Å, b = 5.1678 Å, c = 5.6378 Å
α = 90.00°, β = 90.00°, γ = 90.00°
Space group P4/mmm (No. 123)
One atom of each set of equivalent atoms:
Y  0.0000  0.0000  0.0000 x1
Hf  0.5000  0.5000  0.5000 x1
Ga  0.0000  0.5000  0.2738 x4
Ga  0.5000  0.5000  0.0000 x1

---

Below is LuPuPd2 after structural relaxation, with properties calculated at the PBE-GGA level.

Theoretical density: 12.5 Mg/m³
Formation enthalpy at 0 K: -0.69 eV/atom
Calculated volume: 21.047 Å³/atom
Crystal system: tetragonal
E above lowest polymorph: 0.0000 eV per atom
M_tot: 5.9 μB/cell
Energy: -7.999 eV per atom

a = 3.4091 Å, b = 3.4091 Å, c = 7.2440 Å
α = 90.00°, β = 90.00°, γ = 90.00°
Space group P4/mmm (No. 123)
One atom of each set of equivalent atoms:
Lu  0.0000  0.0000  0.0000 x1
Pu  0.0000  0.0000  0.5000 x1
Pd  0.5000  0.5000  0.2241 x2